Below is an optimized crystal structure of Ca2Tl3Pb3, with properties calculated at the GGA-PBE level.

Calculated values
- formation energy from the elements (eV/atom) = -0.286
- total magnetization (μB per formula unit) = 0.00
- crystal system = orthorhombic
- E_tot (eV/atom) = -3.0639

Lattice parameters (Å, degrees): 4.8577 4.9097 9.9074 90.00 90.00 90.00
Space group Pmmm (No. 47)
Symmetry-distinct sites (fractional):
Ca (0.0000, 0.0000, 0.2487) (multiplicity 2)
Tl (0.0000, 0.5000, 0.0000) (multiplicity 1)
Tl (0.0000, 0.5000, 0.5000) (multiplicity 1)
Tl (0.5000, 0.0000, 0.0000) (multiplicity 1)
Pb (0.5000, 0.0000, 0.5000) (multiplicity 1)
Pb (0.5000, 0.5000, 0.2494) (multiplicity 2)